Version w
Density functional theory data (PBE) for an optimized crystal structure of SbAsPd2.

abc: 3.2695 3.2695 6.8010
angles: 90.00 90.00 90.00
With the nearest neighbours (Å) after each atom.
Atoms (fractional coordinates):
Sb 0.0000 0.0000 0.0000  8 Pd 2.99, 4 Sb 3.27
As 0.0000 0.0000 0.5000  8 Pd 2.75
Pd 0.5000 0.5000 0.2799  4 As 2.75, 1 Pd 2.99, 4 Sb 2.99
Pd 0.5000 0.5000 0.7201  4 As 2.75, 1 Pd 2.99, 4 Sb 2.99

Calculated values
The density of states at the Fermi level comes out at 3.202 states/eV/f.u. Its space group is P4/mmm (123).

Version x
Density functional theory data (PBE) for an optimized crystal structure of SbAsPd2.

abc: 5.7541 16.0268 6.6625
angles: 90.00 90.00 90.00
With the nearest neighbours (Å) after each atom.
Atoms (fractional coordinates):
Sb 0.1981 0.1870 0.0888  5 Pd 2.70-2.80
Sb 0.1981 0.3130 0.5888  5 Pd 2.70-2.80
Sb 0.3019 0.6870 0.0888  5 Pd 2.70-2.80
Sb 0.3019 0.8130 0.5888  5 Pd 2.70-2.80
Sb 0.6981 0.1870 0.4112  5 Pd 2.70-2.80
Sb 0.6981 0.3130 0.9112  5 Pd 2.70-2.80
Sb 0.8019 0.6870 0.4112  5 Pd 2.70-2.80
Sb 0.8019 0.8130 0.9112  5 Pd 2.70-2.80
As 0.1836 0.5568 0.5724  6 Pd 2.54-2.75
As 0.1836 0.9432 0.0724  6 Pd 2.54-2.75
As 0.3164 0.0568 0.5724  6 Pd 2.54-2.75
As 0.3164 0.4432 0.0724  6 Pd 2.54-2.75
As 0.6836 0.5568 0.9276  6 Pd 2.54-2.75
As 0.6836 0.9432 0.4276  6 Pd 2.54-2.75
As 0.8164 0.0568 0.9276  6 Pd 2.54-2.75
As 0.8164 0.4432 0.4276  6 Pd 2.54-2.75
Pd 0.0033 0.5569 0.1899  4 As 2.54-2.75, 2 Sb 2.78-2.80
Pd 0.0033 0.9431 0.6899  4 As 2.54-2.75, 2 Sb 2.78-2.80
Pd 0.0108 0.1663 0.7085  2 As 2.54-2.64, 3 Sb 2.70-2.77
Pd 0.0108 0.3337 0.2085  2 As 2.54-2.64, 3 Sb 2.70-2.77
Pd 0.4892 0.6663 0.7085  2 As 2.54-2.64, 3 Sb 2.70-2.77
Pd 0.4892 0.8337 0.2085  2 As 2.54-2.64, 3 Sb 2.70-2.77
Pd 0.4967 0.0569 0.1899  4 As 2.54-2.75, 2 Sb 2.78-2.80
Pd 0.4967 0.4431 0.6899  4 As 2.54-2.75, 2 Sb 2.78-2.80
Pd 0.5033 0.5569 0.3101  4 As 2.54-2.75, 2 Sb 2.78-2.80
Pd 0.5033 0.9431 0.8101  4 As 2.54-2.75, 2 Sb 2.78-2.80
Pd 0.5108 0.1663 0.7915  2 As 2.54-2.64, 3 Sb 2.70-2.77
Pd 0.5108 0.3337 0.2915  2 As 2.54-2.64, 3 Sb 2.70-2.77
Pd 0.9892 0.6663 0.7915  2 As 2.54-2.64, 3 Sb 2.70-2.77
Pd 0.9892 0.8337 0.2915  2 As 2.54-2.64, 3 Sb 2.70-2.77
Pd 0.9967 0.0569 0.3101  4 As 2.54-2.75, 2 Sb 2.78-2.80
Pd 0.9967 0.4431 0.8101  4 As 2.54-2.75, 2 Sb 2.78-2.80

Calculated values
The density of states at the Fermi level comes out at 1.989 states/eV/f.u. Its space group is Pbca (61).

Energetically preferred structure: version x | next structure: +145 meV/atom

Version w
Density functional theory data (PBE) for an optimized crystal structure of SbAsPd.

abc: 4.5176 4.5176 4.5176
angles: 60.00 60.00 60.00
With the nearest neighbours (Å) after each atom.
Atoms (fractional coordinates):
Sb 0.0000 0.0000 0.0000  4 Pd 2.77
As 0.5000 0.5000 0.5000  4 Pd 2.77
Pd 0.2500 0.2500 0.2500  4 As 2.77, 4 Sb 2.77

Calculated values
The density of states at the Fermi level comes out at 0.964 states/eV/f.u. Its space group is F-43m (216).

Version x
Density functional theory data (PBE) for an optimized crystal structure of SbAsPd.

abc: 4.2248 4.2248 4.4151
angles: 90.00 90.00 120.00
With the nearest neighbours (Å) after each atom.
Atoms (fractional coordinates):
Sb 0.0000 0.0000 0.0000  3 Pd 2.74
As 0.3333 0.6667 0.4426  3 Pd 2.54
Pd 0.6667 0.3333 0.2850  3 As 2.54, 3 Sb 2.74

Calculated values
The density of states at the Fermi level comes out at 0.477 states/eV/f.u. Its space group is P3m1 (156).

Energetically preferred structure: version w | next structure: +85 meV/atom

Version w
Density functional theory data (PBE) for an optimized crystal structure of ScAsPd3.

abc: 4.6520 4.6520 4.6520
angles: 90.00 90.00 90.00
With the nearest neighbours (Å) after each atom.
Atoms (fractional coordinates):
Sc 0.0000 0.0000 0.0000  12 Pd 3.29
As 0.5000 0.5000 0.5000  6 Pd 2.33
Pd 0.0000 0.5000 0.5000  2 As 2.33
Pd 0.5000 0.0000 0.5000  2 As 2.33
Pd 0.5000 0.5000 0.0000  2 As 2.33

Calculated values
The density of states at the Fermi level comes out at 2.082 states/eV/f.u. Its space group is Pm-3m (221).

Version x
Density functional theory data (PBE) for an optimized crystal structure of ScAsPd3.

abc: 4.7537 4.7537 4.7537
angles: 90.00 90.00 90.00
With the nearest neighbours (Å) after each atom.
Atoms (fractional coordinates):
Sc 0.0000 0.0000 0.0000  6 Pd 2.38
As 0.5000 0.5000 0.5000  12 Pd 3.36
Pd 0.0000 0.0000 0.5000  2 Sc 2.38
Pd 0.0000 0.5000 0.0000  2 Sc 2.38
Pd 0.5000 0.0000 0.0000  2 Sc 2.38

Calculated values
The density of states at the Fermi level comes out at 2.645 states/eV/f.u. Its space group is Pm-3m (221).

Energetically preferred structure: version w | next structure: +724 meV/atom

Version w
Density functional theory data (PBE) for an optimized crystal structure of ScAsPdSe2.

abc: 4.9854 4.9854 4.7373
angles: 90.00 90.00 90.00
With the nearest neighbours (Å) after each atom.
Atoms (fractional coordinates):
Sc 0.0000 0.0000 0.0000  8 Se 3.44, 4 As 3.53
As 0.5000 0.5000 0.0000  2 Pd 2.37
Pd 0.5000 0.5000 0.5000  2 As 2.37, 4 Se 2.49
Se 0.0000 0.5000 0.5000  2 Pd 2.49
Se 0.5000 0.0000 0.5000  2 Pd 2.49

Calculated values
The density of states at the Fermi level comes out at 3.308 states/eV/f.u. Its space group is P4/mmm (123).

Version x
Density functional theory data (PBE) for an optimized crystal structure of ScAsPdSe2.

abc: 5.0453 5.0453 5.1353
angles: 90.00 90.00 90.00
With the nearest neighbours (Å) after each atom.
Atoms (fractional coordinates):
Sc 0.0000 0.0000 0.0000  4 Se 2.52, 2 As 2.57
As 0.0000 0.0000 0.5000  2 Sc 2.57
Pd 0.5000 0.5000 0.5000  4 As 3.57, 8 Se 3.60
Se 0.0000 0.5000 0.0000  2 Sc 2.52
Se 0.5000 0.0000 0.0000  2 Sc 2.52

Calculated values
The density of states at the Fermi level comes out at 5.158 states/eV/f.u. Its space group is P4/mmm (123).

Energetically preferred structure: version w | next structure: +187 meV/atom

Version w
Density functional theory data (PBE) for an optimized crystal structure of AsPd4Se.

abc: 5.4814 5.4814 7.7900
angles: 104.69 104.69 105.56
With the nearest neighbours (Å) after each atom.
Atoms (fractional coordinates):
As 0.1248 0.8752 0.7500  8 Pd 2.60-2.65
As 0.8752 0.1248 0.2500  8 Pd 2.60-2.65
Pd 0.0440 0.7845 0.0466  2 Se 2.58-2.75, 2 As 2.60-2.65, 5 Pd 2.76-2.89
Pd 0.2155 0.9560 0.4534  2 Se 2.58-2.75, 2 As 2.60-2.65, 5 Pd 2.76-2.89
Pd 0.2615 0.5020 0.5468  2 Se 2.58-2.74, 2 As 2.62-2.65, 5 Pd 2.77-2.89
Pd 0.4980 0.7385 0.9532  2 Se 2.58-2.74, 2 As 2.62-2.65, 5 Pd 2.77-2.89
Pd 0.5020 0.2615 0.0468  2 Se 2.58-2.74, 2 As 2.62-2.65, 5 Pd 2.77-2.89
Pd 0.7385 0.4980 0.4532  2 Se 2.58-2.74, 2 As 2.62-2.65, 5 Pd 2.77-2.89
Pd 0.7845 0.0440 0.5466  2 Se 2.58-2.75, 2 As 2.60-2.65, 5 Pd 2.76-2.89
Pd 0.9560 0.2155 0.9534  2 Se 2.58-2.75, 2 As 2.60-2.65, 5 Pd 2.76-2.89
Se 0.3750 0.6250 0.2500  8 Pd 2.58-2.75
Se 0.6250 0.3750 0.7500  8 Pd 2.58-2.75

Calculated values
The density of states at the Fermi level comes out at 3.882 states/eV/f.u. Its space group is C2/c (15).

Version x
Density functional theory data (PBE) for an optimized crystal structure of AsPd4Se.

abc: 6.6392 3.6537 16.4246
angles: 90.00 90.00 90.00
With the nearest neighbours (Å) after each atom.
Atoms (fractional coordinates):
As 0.1682 0.2500 0.1854  7 Pd 2.45-2.63
As 0.3318 0.7500 0.6854  7 Pd 2.45-2.63
As 0.6682 0.2500 0.3146  7 Pd 2.45-2.63
As 0.8318 0.7500 0.8146  7 Pd 2.45-2.63
Pd 0.0450 0.2500 0.3261  2 As 2.45-2.51, 2 Se 2.69
Pd 0.0660 0.7500 0.9361  1 As 2.53, 2 Se 2.57
Pd 0.1130 0.2500 0.7972  2 As 2.63, 1 Se 2.73, 4 Pd 2.92-2.94
Pd 0.2285 0.2500 0.5883  2 As 2.52, 1 Se 2.63
Pd 0.2715 0.7500 0.0883  2 As 2.52, 1 Se 2.63
Pd 0.3870 0.7500 0.2972  2 As 2.63, 1 Se 2.73, 4 Pd 2.92-2.94
Pd 0.4340 0.2500 0.4361  1 As 2.53, 2 Se 2.57
Pd 0.4550 0.7500 0.8261  2 As 2.45-2.51, 2 Se 2.69
Pd 0.5450 0.2500 0.1739  2 As 2.45-2.51, 2 Se 2.69
Pd 0.5660 0.7500 0.5639  1 As 2.53, 2 Se 2.57
Pd 0.6130 0.2500 0.7028  2 As 2.63, 1 Se 2.73, 4 Pd 2.92-2.94
Pd 0.7285 0.2500 0.9117  2 As 2.52, 1 Se 2.63
Pd 0.7715 0.7500 0.4117  2 As 2.52, 1 Se 2.63
Pd 0.8870 0.7500 0.2028  2 As 2.63, 1 Se 2.73, 4 Pd 2.92-2.94
Pd 0.9340 0.2500 0.0639  1 As 2.53, 2 Se 2.57
Pd 0.9550 0.7500 0.6739  2 As 2.45-2.51, 2 Se 2.69
Se 0.1626 0.7500 0.4363  6 Pd 2.57-2.73
Se 0.3374 0.2500 0.9363  6 Pd 2.57-2.73
Se 0.6626 0.7500 0.0637  6 Pd 2.57-2.73
Se 0.8374 0.2500 0.5637  6 Pd 2.57-2.73

Calculated values
The density of states at the Fermi level comes out at 2.709 states/eV/f.u. Its space group is Pnma (62).

Energetically preferred structure: version x | next structure: +72 meV/atom

Version w
Density functional theory data (PBE) for an optimized crystal structure of SiAs2PdSe.

abc: 4.7341 4.7341 4.7139
angles: 90.00 90.00 90.00
With the nearest neighbours (Å) after each atom.
Atoms (fractional coordinates):
Si 0.0000 0.0000 0.0000  2 Se 2.36, 4 As 2.37
As 0.0000 0.5000 0.0000  2 Si 2.37
As 0.5000 0.0000 0.0000  2 Si 2.37
Pd 0.5000 0.5000 0.5000  8 As 3.34, 4 Se 3.35
Se 0.0000 0.0000 0.5000  2 Si 2.36

Calculated values
The density of states at the Fermi level comes out at 2.966 states/eV/f.u. Its space group is P4/mmm (123).

Version x
Density functional theory data (PBE) for an optimized crystal structure of SiAs2PdSe.

abc: 4.7891 4.7891 5.1583
angles: 90.00 90.00 90.00
With the nearest neighbours (Å) after each atom.
Atoms (fractional coordinates):
Si 0.0000 0.0000 0.0000  4 Se 3.39, 8 As 3.52
As 0.0000 0.5000 0.5000  2 Pd 2.39
As 0.5000 0.0000 0.5000  2 Pd 2.39
Pd 0.5000 0.5000 0.5000  4 As 2.39, 2 Se 2.58
Se 0.5000 0.5000 0.0000  2 Pd 2.58

Calculated values
The density of states at the Fermi level comes out at 4.531 states/eV/f.u. Its space group is P4/mmm (123).

Energetically preferred structure: version w | next structure: +86 meV/atom